{
  "formula": "Cs3MnO4",
  "functional": "PBE+U",
  "state": "optimized geometry",
  "magnetic_moment_mub_per_fu": 2.00,
  "dft_energy_ev_per_atom": -5.1715,
  "n_ef_per_ev_atom": 0.000,
  "lattice_angstrom": [[8.4032, 0.0000, 0.0000], [0.0000, 8.4978, 0.0000], [0.0000, 0.0000, 10.5525]],
  "species": ["O", "O", "O", "O", "Cs", "O", "Cs", "O", "Mn", "O", "O", "Cs", "O", "O", "Mn", "Cs", "O", "Mn", "Mn", "Cs", "Cs", "Cs", "O", "Cs", "Cs", "O", "O", "O", "Cs", "Cs", "Cs", "O"],
  "fractional_positions": [[0.1722, 0.9483, 0.8856], [0.6722, 0.5517, 0.6144], [0.7234, 0.7859, 0.2500], [0.6722, 0.5517, 0.8856], [0.9650, 0.7228, 0.0423], [0.3278, 0.4483, 0.3856], [0.0350, 0.2772, 0.9577], [0.2766, 0.2141, 0.7500], [0.7690, 0.4904, 0.7500], [0.7766, 0.2859, 0.7500], [0.3278, 0.4483, 0.1144], [0.5350, 0.2228, 0.9577], [0.4613, 0.9383, 0.7500], [0.9613, 0.5617, 0.7500], [0.2690, 0.0096, 0.7500], [0.8188, 0.9220, 0.7500], [0.2234, 0.7141, 0.2500], [0.2310, 0.5096, 0.2500], [0.7310, 0.9904, 0.2500], [0.5350, 0.2228, 0.5423], [0.4650, 0.7772, 0.4577], [0.3188, 0.5780, 0.7500], [0.8278, 0.0517, 0.1144], [0.1812, 0.0780, 0.2500], [0.6812, 0.4220, 0.2500], [0.5387, 0.0617, 0.2500], [0.1722, 0.9483, 0.6144], [0.0387, 0.4383, 0.2500], [0.0350, 0.2772, 0.5423], [0.4650, 0.7772, 0.0423], [0.9650, 0.7228, 0.4577], [0.8278, 0.0517, 0.3856]]
}